Re3Rh5, relaxed, DFT PBE; formation enthalpy at 0 K = 0.406 eV/atom; VASP energy = -8.86 eV per atom; size of the total moment = 0.0 μB/cell; relative energy among the computed polymorphs = 551 meV/atom
1.0
7.5629 0.0000 0.0000
-3.7814 6.5496 0.0000
0.0000 0.0000 4.9221
Re Rh
6 10
Cartesian
-1.5805 2.7376 1.2305
-2.2009 3.8121 3.6916
3.1611 0.0000 1.2305
1.5805 2.7376 3.6916
4.4018 0.0000 3.6916
2.2009 3.8121 1.2305
-0.8056 1.3953 3.6916
-2.9759 5.1543 1.2305
1.6112 0.0000 3.6916
0.8056 1.3953 1.2305
0.0000 4.3664 0.0000
0.0000 4.3664 2.4610
3.7814 2.1832 0.0000
3.7814 2.1832 2.4610
5.9517 0.0000 1.2305
2.9759 5.1543 3.6916